(1)
# Pr2AgSnSe5

Pr2AgSnSe5 after structural relaxation (GGA-PBE, Alexandria via LeMat-Bulk).

abc: 4.1289 9.1172 12.7037
angles: 90.00 90.00 103.09
With the nearest neighbours (Å) after each atom.
Positions (direct):
Se 0.5041 0.0082 0.7806  1 Ag 2.54
Se 0.4959 0.9918 0.2806  1 Ag 2.54
Se 0.7110 0.4221 0.1623  2 Sn 2.94, 3 Pr 3.08-3.15
Se 0.6996 0.3993 0.8311  2 Sn 2.98, 3 Pr 3.16
Se 0.9542 0.9085 0.5862  2 Ag 2.55, 1 Sn 2.79
Se 0.3004 0.6007 0.3311  2 Sn 2.98, 3 Pr 3.16
Se 0.6478 0.2955 0.4965  1 Ag 2.77, 1 Sn 2.88
Se 0.3522 0.7045 0.9965  1 Ag 2.77, 1 Sn 2.88
Se 0.0458 0.0915 0.0862  2 Ag 2.55, 1 Sn 2.79
Se 0.2890 0.5779 0.6623  2 Sn 2.94, 3 Pr 3.08-3.15
Pr 0.8839 0.7678 0.1838  8 Se 3.08-3.20
Pr 0.8766 0.7533 0.8033  8 Se 3.08-3.24
Pr 0.1234 0.2467 0.3033  8 Se 3.08-3.24
Pr 0.1161 0.2322 0.6838  8 Se 3.08-3.20
Sn 0.8099 0.6198 0.4998  6 Se 2.79-2.98
Sn 0.1901 0.3802 0.9998  6 Se 2.79-2.98
Ag 0.5076 0.0153 0.9805  4 Se 2.54-2.77
Ag 0.4924 0.9847 0.4805  4 Se 2.54-2.77

Properties
N(E_F), states/eV per cell: 6.48
Uncorrected formation energy, kJ per mole of atoms: -107.6
Electronic total energy, eV per atom: -4.875

***

(2)
# TbPm2Mg4

TbPm2Mg4 after structural relaxation (GGA-PBE, Alexandria via LeMat-Bulk).

abc: 5.4385 5.4385 8.2673
angles: 109.20 109.20 90.00
With the nearest neighbours (Å) after each atom.
Positions (direct):
Pm 0.2529 0.2529 0.5058  8 Mg 3.34-3.39, 1 Tb 3.70
Pm 0.7471 0.7471 0.4942  8 Mg 3.34-3.39, 1 Tb 3.70
Tb 0.0000 0.0000 0.0000  8 Mg 3.19
Mg 0.3857 0.8857 0.7714  2 Tb 3.19, 4 Pm 3.34-3.39, 1 Mg 3.35
Mg 0.6143 0.1143 0.2286  2 Tb 3.19, 4 Pm 3.34-3.39, 1 Mg 3.35
Mg 0.8857 0.3857 0.7714  2 Tb 3.19, 4 Pm 3.34-3.39, 1 Mg 3.35
Mg 0.1143 0.6143 0.2286  2 Tb 3.19, 4 Pm 3.34-3.39, 1 Mg 3.35

Properties
N(E_F), states/eV per cell: 6.09
Energy relative to the lowest polymorph listed for this composition, meV per atom: 0.0
Calculated formation energy, meV/atom: 120
Electronic total energy, eV per atom: -2.810

***

(3)
# BaCrSb2Te

BaCrSb2Te after structural relaxation (GGA-PBE, Alexandria via LeMat-Bulk).

abc: 6.2893 6.2893 6.3554
angles: 90.00 90.00 90.00
With the nearest neighbours (Å) after each atom.
Positions (direct):
Sb 0.0000 0.5000 0.0000  2 Ba 3.14
Sb 0.5000 0.0000 0.0000  2 Ba 3.14
Te 0.0000 0.0000 0.5000  2 Ba 3.18
Cr 0.5000 0.5000 0.5000  4 Te 4.45, 8 Sb 4.47
Ba 0.0000 0.0000 0.0000  4 Sb 3.14, 2 Te 3.18

Properties
N(E_F), states/eV per cell: 6.82
Energy relative to the lowest polymorph listed for this composition, meV per atom: 1455.5
Uncorrected formation energy, kJ per mole of atoms: 109.2
Electronic total energy, eV per atom: -3.455

***

(4)
# SnHgPd6

SnHgPd6 after structural relaxation (GGA-PBE, Alexandria via LeMat-Bulk).

abc: 4.0707 4.0707 7.9970
angles: 90.00 90.00 90.00
With the nearest neighbours (Å) after each atom.
Positions (direct):
Sn 0.0000 0.0000 0.5000  12 Pd 2.82-2.88
Hg 0.0000 0.0000 0.0000  12 Pd 2.88
Pd 0.0000 0.5000 0.7445  2 Sn 2.82, 8 Pd 2.82-2.88, 2 Hg 2.88
Pd 0.5000 0.5000 0.0000  4 Hg 2.88, 8 Pd 2.88
Pd 0.5000 0.0000 0.7445  2 Sn 2.82, 8 Pd 2.82-2.88, 2 Hg 2.88
Pd 0.5000 0.5000 0.5000  8 Pd 2.82, 4 Sn 2.88
Pd 0.5000 0.0000 0.2555  2 Sn 2.82, 8 Pd 2.82-2.88, 2 Hg 2.88
Pd 0.0000 0.5000 0.2555  2 Sn 2.82, 8 Pd 2.82-2.88, 2 Hg 2.88

Properties
N(E_F), states/eV per cell: 9.60
Energy relative to the lowest polymorph listed for this composition, meV per atom: 0.0
Calculated formation energy, meV/atom: -301
Electronic total energy, eV per atom: -4.733